Record 1
VASP calculation (GGA-PBE) on an optimized crystal structure of TcSb2Br.

abc: 3.344 3.344 8.074
angles: 90.00 90.00 90.00
Positions (direct):
Tc (0.500, 0.500, 0.250)
Sb (0.000, 0.000, 0.052)
Sb (0.000, 0.000, 0.448)
Br (0.500, 0.500, 0.750)

volume = 90 Å³/cell
total moment = 0.00 μB per formula unit
space group = No. 123
E above lowest polymorph = 0 meV/atom

***

Record 2
VASP calculation (GGA-PBE) on an optimized crystal structure of TcSb2Br.

abc: 5.360 4.243 4.243
angles: 90.00 90.00 90.00
Positions (direct):
Sb (0.000, 0.500, 0.500)
Sb (0.000, 0.000, 0.000)
Br (0.500, 0.000, 0.500)
Tc (0.500, 0.500, 0.000)

volume = 97 Å³/cell
total moment = 2.62 μB per formula unit
space group = No. 123
E above lowest polymorph = 813 meV/atom

***

Record 3
VASP calculation (GGA-PBE) on an optimized crystal structure of TcSb2Br.

abc: 5.071 5.071 6.854
angles: 71.95 71.95 39.60
Positions (direct):
Sb (0.023, 0.023, 0.055)
Sb (0.184, 0.184, 0.365)
Br (0.824, 0.824, 0.703)
Tc (0.470, 0.470, 0.377)

volume = 106 Å³/cell
total moment = 0.00 μB per formula unit
space group = No. 8
E above lowest polymorph = 79 meV/atom

***

Record 4
VASP calculation (GGA-PBE) on an optimized crystal structure of TcSbBr.

abc: 3.301 3.301 7.973
angles: 90.00 90.00 120.00
Positions (direct):
Br (0.000, 0.000, 0.905)
Tc (0.333, 0.667, 0.671)
Sb (0.667, 0.333, 0.425)

volume = 75 Å³/cell
total moment = 0.00 μB per formula unit
space group = No. 156
E above lowest polymorph = 0 meV/atom

***

Record 5
VASP calculation (GGA-PBE) on an optimized crystal structure of TcSb2Br.

abc: 4.260 4.260 8.640
angles: 105.92 105.92 47.89
Positions (direct):
Sb (0.895, 0.895, 0.086)
Sb (0.605, 0.605, 0.414)
Br (0.750, 0.750, 0.750)
Tc (0.250, 0.250, 0.250)

volume = 111 Å³/cell
total moment = 0.00 μB per formula unit
space group = No. 12
E above lowest polymorph = 20 meV/atom

***

Record 6
VASP calculation (GGA-PBE) on an optimized crystal structure of TcSb2Br.

abc: 3.526 3.524 7.872
angles: 90.00 90.00 90.00
Positions (direct):
Sb (0.000, 0.000, 0.066)
Sb (0.500, 0.500, 0.302)
Br (0.500, 0.500, 0.692)
Tc (0.000, 0.000, 0.441)

volume = 98 Å³/cell
total moment = 0.56 μB per formula unit
space group = No. 99
E above lowest polymorph = 311 meV/atom

***

The records above yield formation energy from raw total energies values of 14, 826, 93, 205, 33, 325 meV per atom, respectively.